Record 1
DFT (GGA-PBEsol) results for a relaxed CuSb6S2O16 crystal.

a b c (Å): 5.5473 7.6808 9.1962
angles (deg): 96.93 93.53 109.15
With the nearest neighbours (Å) after each atom.
Fractional positions:
1 O 0.6727 0.3719 0.5769  1 Cu 1.98, 2 Sb 2.03-2.06
2 O 0.9230 0.2639 0.9120  1 S 1.46
3 O 0.0770 0.7361 0.0880  1 S 1.46
4 O 0.4577 0.9809 0.6288  3 Sb 2.03-2.26
5 O 0.2571 0.3452 0.7467  1 S 1.52
6 O 0.3273 0.6281 0.4231  1 Cu 1.98, 2 Sb 2.03-2.06
7 O 0.3447 0.2397 0.9765  1 S 1.48
8 O 0.9689 0.3405 0.3149  1 Cu 1.94, 2 Sb 2.01-2.11
9 O 0.5423 0.0191 0.3712  3 Sb 2.03-2.26
10 O 0.0517 0.0217 0.7772  1 S 1.51
11 O 0.6553 0.7603 0.0235  1 S 1.48
12 O 0.9483 0.9783 0.2228  1 S 1.51
13 O 0.0311 0.6595 0.6851  1 Cu 1.94, 2 Sb 2.01-2.11
14 O 0.4457 0.2962 0.2934  3 Sb 2.03-2.13
15 O 0.7429 0.6548 0.2533  1 S 1.52
16 O 0.5543 0.7038 0.7066  3 Sb 2.03-2.13
17 S 0.8589 0.7814 0.1426  4 O 1.46-1.52
18 S 0.1411 0.2186 0.8574  4 O 1.46-1.52
19 Sb 0.2980 0.4815 0.2167  3 O 2.03-2.11
20 Sb 0.7020 0.5185 0.7833  3 O 2.03-2.11
21 Sb 0.6645 0.1445 0.1946  3 O 2.01-2.11
22 Sb 0.3465 0.1654 0.4834  4 O 2.03-2.26
23 Sb 0.6535 0.8346 0.5166  4 O 2.03-2.26
24 Sb 0.3355 0.8555 0.8054  3 O 2.01-2.11
25 Cu 0.0000 0.5000 0.5000  4 O 1.94-1.98

As for the space group: P-1 (2). The spin magnetization comes out at 1.0 μB per formula unit. The final energy comes out at -6.299 eV per atom.

Record 2
DFT (GGA-PBEsol) results for a relaxed BaSNO2 crystal.

a b c (Å): 3.6033 4.1162 4.1162
angles (deg): 90.00 90.00 90.00
With the nearest neighbours (Å) after each atom.
Fractional positions:
1 S 0.0000 0.0000 0.0000  2 N 1.80
2 N 0.5000 0.0000 0.0000  2 S 1.80
3 O 0.0000 0.5000 0.0000  2 S 2.06
4 O 0.0000 0.0000 0.5000  2 S 2.06
5 Ba 0.5000 0.5000 0.5000  8 O 2.74, 4 N 2.91

Its density of states at the Fermi level is 2.196 states/eV/f.u. As for the space group: P4/mmm (123). The spin magnetization comes out at 0.0 μB per formula unit. The final energy comes out at -5.759 eV per atom.

Record 3
DFT (GGA-PBEsol) results for a relaxed LiCa5 crystal.

a b c (Å): 4.0151 6.9919 8.8505
angles (deg): 108.06 90.00 106.69
With the nearest neighbours (Å) after each atom.
Fractional positions:
1 Ca 0.3643 0.7287 0.1990  2 Li 3.56, 7 Ca 3.81-3.95
2 Ca 0.3394 0.6789 0.7424  2 Li 3.34, 4 Ca 3.70-3.73
3 Ca 0.6945 0.3890 0.3886  10 Ca 3.70-4.02
4 Ca 0.0247 0.0494 0.5788  2 Li 3.57, 8 Ca 3.81-3.99
5 Ca 0.0491 0.0983 0.0352  2 Li 3.33, 4 Ca 3.70-3.73
6 Li 0.6946 0.3891 0.8894  8 Ca 3.33-3.57

Its density of states at the Fermi level is 6.083 states/eV/f.u. The excess energy over the best structure of this formula in the dataset comes out at 0.000 eV per formula unit. As for the space group: Cm (8). The formation energy from the elements comes out at 0.0183 eV/atom. The spin magnetization comes out at 0.0 μB per formula unit. The final energy comes out at -2.087 eV per atom.

Record 4
DFT (GGA-PBEsol) results for a relaxed Cd2AsSe crystal.

a b c (Å): 3.6448 3.6448 7.2164
angles (deg): 90.00 90.00 90.00
With the nearest neighbours (Å) after each atom.
Fractional positions:
1 Se 0.0000 0.0000 0.6601  4 As 2.63, 1 Cd 2.71
2 Cd 0.0000 0.0000 0.0354  1 Se 2.71, 4 Cd 2.89
3 Cd 0.5000 0.5000 0.2179  1 As 2.66, 4 Cd 2.89
4 As 0.5000 0.5000 0.5865  4 Se 2.63, 1 Cd 2.66

Its density of states at the Fermi level is 1.263 states/eV/f.u. The excess energy over the best structure of this formula in the dataset comes out at 0.000 eV per formula unit. As for the space group: P4mm (99). The spin magnetization comes out at 0.0 μB per formula unit. The final energy comes out at -2.797 eV per atom.

Record 5
DFT (GGA-PBEsol) results for a relaxed Pt2W crystal.

a b c (Å): 2.7550 5.3066 6.6264
angles (deg): 104.60 90.00 105.05
With the nearest neighbours (Å) after each atom.
Fractional positions:
1 Pt 0.8146 0.6291 0.8708  5 W 2.70-2.87, 7 Pt 2.75-2.85
2 Pt 0.1854 0.3709 0.1292  5 W 2.70-2.87, 7 Pt 2.75-2.85
3 Pt 0.8639 0.7277 0.4684  8 Pt 2.71-2.85, 4 W 2.73-2.76
4 Pt 0.1361 0.2723 0.5316  8 Pt 2.71-2.85, 4 W 2.73-2.76
5 W 0.5261 0.0521 0.8025  9 Pt 2.70-2.87, 3 W 2.75-2.80
6 W 0.4739 0.9479 0.1975  9 Pt 2.70-2.87, 3 W 2.75-2.80

Its density of states at the Fermi level is 2.259 states/eV/f.u. The excess energy over the best structure of this formula in the dataset comes out at 0.291 eV per formula unit. As for the space group: C2/m (12). The formation energy from the elements comes out at -0.2745 eV/atom. The spin magnetization comes out at 0.0 μB per formula unit. The final energy comes out at -9.519 eV per atom.

Record 6
DFT (GGA-PBEsol) results for a relaxed Mn2CoPb crystal.

a b c (Å): 3.0393 3.0420 6.8338
angles (deg): 90.00 90.00 90.00
With the nearest neighbours (Å) after each atom.
Fractional positions:
1 Mn 0.0000 0.0000 0.6938  4 Co 2.53, 1 Mn 2.65
2 Mn 0.0000 0.0000 0.3062  4 Co 2.53, 1 Mn 2.65
3 Co 0.5000 0.5000 0.5000  8 Mn 2.53
4 Pb 0.5000 0.5000 0.0000  8 Mn 3.00, 4 Pb 3.04

Its density of states at the Fermi level is 2.281 states/eV/f.u. The excess energy over the best structure of this formula in the dataset comes out at 0.000 eV per formula unit. As for the space group: P4/mmm (123). The formation energy from the elements comes out at 0.4385 eV/atom. The spin magnetization comes out at 8.9 μB per formula unit. The final energy comes out at -7.376 eV per atom.

Record 7
DFT (GGA-PBEsol) results for a relaxed TaOs3 crystal.

a b c (Å): 3.8925 3.8925 3.8925
angles (deg): 90.00 90.00 90.00
With the nearest neighbours (Å) after each atom.
Fractional positions:
1 Os 0.0000 0.0000 0.5000  4 Ta 2.75, 8 Os 2.75
2 Os 0.5000 0.0000 0.0000  4 Ta 2.75, 8 Os 2.75
3 Os 0.0000 0.5000 0.0000  4 Ta 2.75, 8 Os 2.75
4 Ta 0.5000 0.5000 0.5000  12 Os 2.75

Its density of states at the Fermi level is 4.570 states/eV/f.u. As for the space group: Pm-3m (221). The formation energy from the elements comes out at -0.1324 eV/atom. The spin magnetization comes out at 0.0 μB per formula unit. The final energy comes out at -12.432 eV per atom.

Record 8
DFT (GGA-PBEsol) results for a relaxed CsK3 crystal.

a b c (Å): 7.6044 7.6044 7.6044
angles (deg): 60.00 60.00 60.00
With the nearest neighbours (Å) after each atom.
Fractional positions:
1 K 0.2500 0.2500 0.2500  4 K 4.66, 4 Cs 4.66
2 K 0.7500 0.7500 0.7500  4 K 4.66, 4 Cs 4.66
3 K 0.5000 0.5000 0.5000  8 K 4.66
4 Cs 0.0000 0.0000 0.0000  8 K 4.66

Its density of states at the Fermi level is 3.497 states/eV/f.u. As for the space group: Fm-3m (225). The formation energy from the elements comes out at 0.0068 eV/atom. The spin magnetization comes out at 0.0 μB per formula unit. The final energy comes out at -1.079 eV per atom.

Record 9
DFT (GGA-PBEsol) results for a relaxed SbPBr2 crystal.

a b c (Å): 4.3231 4.5172 4.5172
angles (deg): 90.00 90.00 90.00
With the nearest neighbours (Å) after each atom.
Fractional positions:
1 Br 0.0000 0.5000 0.0000  4 Sb 3.13, 4 P 3.13, 4 Br 3.19
2 Br 0.0000 0.0000 0.5000  4 P 3.13, 4 Sb 3.13, 4 Br 3.19
3 P 0.5000 0.5000 0.5000  8 Br 3.13, 4 Sb 3.19
4 Sb 0.5000 0.0000 0.0000  8 Br 3.13, 4 P 3.19

Its density of states at the Fermi level is 2.511 states/eV/f.u. The excess energy over the best structure of this formula in the dataset comes out at 0.935 eV per formula unit. As for the space group: P4/mmm (123). The spin magnetization comes out at 0.0 μB per formula unit. The final energy comes out at -3.002 eV per atom.

Record 10
DFT (GGA-PBEsol) results for a relaxed Y3SiW crystal.

a b c (Å): 5.2386 5.2386 5.2386
angles (deg): 90.00 90.00 90.00
With the nearest neighbours (Å) after each atom.
Fractional positions:
1 Si 0.0000 0.0000 0.0000  6 Y 2.62
2 Y 0.5000 0.0000 0.0000  2 Si 2.62
3 Y 0.0000 0.5000 0.0000  2 Si 2.62
4 Y 0.0000 0.0000 0.5000  2 Si 2.62
5 W 0.5000 0.5000 0.5000  12 Y 3.70

Its density of states at the Fermi level is 7.351 states/eV/f.u. As for the space group: Pm-3m (221). The spin magnetization comes out at 3.5 μB per formula unit. The final energy comes out at -7.127 eV per atom.

Record 11
DFT (GGA-PBEsol) results for a relaxed MgScIn2 crystal.

a b c (Å): 3.1964 4.3215 6.3132
angles (deg): 90.00 90.00 90.00
With the nearest neighbours (Å) after each atom.
Fractional positions:
1 In 0.0000 0.0000 0.2526  4 Sc 3.11, 4 In 3.12-3.20, 4 Mg 3.13
2 In 0.0000 0.0000 0.7474  4 Sc 3.11, 4 In 3.12-3.20, 4 Mg 3.13
3 Mg 0.5000 0.5000 0.0000  8 In 3.13, 2 Sc 3.16, 2 Mg 3.20
4 Sc 0.5000 0.5000 0.5000  8 In 3.11, 2 Mg 3.16, 2 Sc 3.20

Its density of states at the Fermi level is 2.182 states/eV/f.u. As for the space group: Pmmm (47). The formation energy from the elements comes out at -0.2999 eV/atom. The spin magnetization comes out at 0.0 μB per formula unit. The final energy comes out at -3.872 eV per atom.

Record 12
DFT (GGA-PBEsol) results for a relaxed PPdWS2 crystal.

a b c (Å): 4.5518 4.5518 4.7325
angles (deg): 90.00 90.00 90.00
With the nearest neighbours (Å) after each atom.
Fractional positions:
1 W 0.0000 0.0000 0.0000  4 S 2.28, 2 P 2.37
2 Pd 0.5000 0.5000 0.5000  4 P 3.22, 8 S 3.28
3 S 0.5000 0.0000 0.0000  2 W 2.28
4 S 0.0000 0.5000 0.0000  2 W 2.28
5 P 0.0000 0.0000 0.5000  2 W 2.37

Its density of states at the Fermi level is 5.043 states/eV/f.u. As for the space group: P4/mmm (123). The spin magnetization comes out at 0.0 μB per formula unit. The final energy comes out at -6.353 eV per atom.

Record 13
DFT (GGA-PBEsol) results for a relaxed RbGe3Ir crystal.

a b c (Å): 5.1006 5.1006 5.1006
angles (deg): 90.00 90.00 90.00
With the nearest neighbours (Å) after each atom.
Fractional positions:
1 Ir 0.5000 0.5000 0.5000  12 Ge 3.61
2 Ge 0.0000 0.0000 0.5000  2 Rb 2.55
3 Ge 0.5000 0.0000 0.0000  2 Rb 2.55
4 Ge 0.0000 0.5000 0.0000  2 Rb 2.55
5 Rb 0.0000 0.0000 0.0000  6 Ge 2.55

Its density of states at the Fermi level is 5.471 states/eV/f.u. As for the space group: Pm-3m (221). The formation energy from the elements comes out at 2.6071 eV/atom. The spin magnetization comes out at 0.0 μB per formula unit. The final energy comes out at -2.526 eV per atom.